No. 1
Entry from Alexandria via LeMat-Bulk: a relaxed PmPr6Sm2 crystal (PBE).

Output
calculated formation energy	0.580	eV per atom
uncorrected energy	-4.1830	eV per atom
excess energy over the best structure of this formula in the dataset	0.410	eV per atom
N(E_F)	29.08	states/eV/cell

Geometry as CIF:
```
data_PmPr6Sm2
_chemical_formula_sum 'Pm2 Pr12 Sm4'
_cell_length_a 8.347
_cell_length_b 8.347
_cell_length_c 10.672
_cell_angle_alpha 90.00
_cell_angle_beta 90.00
_cell_angle_gamma 90.00
_symmetry_space_group_name_H-M 'P 42/m n m'
_symmetry_Int_Tables_number 136
_symmetry_space_group_name_Hall '-P 4n 2n'
loop_
_atom_site_label
_atom_site_fract_x
_atom_site_fract_y
_atom_site_fract_z
Pm1 0.000 0.000 0.000
Pr1 0.238 0.238 0.167
Pr2 0.238 0.238 0.500
Sm1 0.000 0.000 0.334
```

---

No. 2
Entry from Alexandria via LeMat-Bulk: a relaxed Nd4Sm5Tm crystal (PBE).

Output
calculated formation energy	0.227	eV per atom
uncorrected energy	-4.4869	eV per atom
excess energy over the best structure of this formula in the dataset	0.212	eV per atom
N(E_F)	28.61	states/eV/cell

Geometry as CIF:
```
data_Nd4Sm5Tm
_chemical_formula_sum 'Nd8 Sm10 Tm2'
_cell_length_a 10.606
_cell_length_b 10.606
_cell_length_c 6.178
_cell_angle_alpha 90.00
_cell_angle_beta 90.00
_cell_angle_gamma 90.00
_symmetry_space_group_name_H-M 'I 4 m m'
_symmetry_Int_Tables_number 107
_symmetry_space_group_name_Hall 'I 4 -2'
loop_
_atom_site_label
_atom_site_fract_x
_atom_site_fract_y
_atom_site_fract_z
Nd1 0.000 0.324 0.000
Sm1 0.000 0.000 0.257
Sm2 0.188 0.188 0.532
Tm1 0.000 0.000 0.789
```

---

No. 3
Entry from Alexandria via LeMat-Bulk: a relaxed U2MnGe4Pt3 crystal (PBE).

Output
calculated formation energy	-0.471	eV per atom
uncorrected energy	-7.3053	eV per atom
N(E_F)	17.76	states/eV/cell

Geometry as CIF:
```
data_U2MnGe4Pt3
_chemical_formula_sum 'U2 Mn1 Ge4 Pt3'
_cell_length_a 4.180
_cell_length_b 4.180
_cell_length_c 10.590
_cell_angle_alpha 90.00
_cell_angle_beta 90.00
_cell_angle_gamma 90.00
_symmetry_space_group_name_H-M 'P -4 m 2'
_symmetry_Int_Tables_number 115
_symmetry_space_group_name_Hall 'P -4 -2'
loop_
_atom_site_label
_atom_site_fract_x
_atom_site_fract_y
_atom_site_fract_z
U1 0.000 0.500 0.241
Mn1 0.500 0.500 0.000
Ge1 0.000 0.000 0.500
Ge2 0.000 0.500 0.865
Ge3 0.500 0.500 0.500
Pt1 0.000 0.000 0.000
Pt2 0.000 0.500 0.634
```

---

No. 4
Entry from Alexandria via LeMat-Bulk: a relaxed SnBP2S crystal (PBE).

Output
ΔE_f (raw)	1809	meV per atom
uncorrected energy	-3.3167	eV per atom
excess energy over the best structure of this formula in the dataset	1.160	eV per atom
N(E_F)	3.67	states/eV/cell

Geometry as CIF:
```
data_SnBP2S
_chemical_formula_sum 'Sn1 B1 P2 S1'
_cell_length_a 5.054
_cell_length_b 5.054
_cell_length_c 5.029
_cell_angle_alpha 90.00
_cell_angle_beta 90.00
_cell_angle_gamma 90.00
_symmetry_space_group_name_H-M 'P 4/m m m'
_symmetry_Int_Tables_number 123
_symmetry_space_group_name_Hall '-P 4 2'
loop_
_atom_site_label
_atom_site_fract_x
_atom_site_fract_y
_atom_site_fract_z
Sn1 0.000 0.000 0.000
B1 0.500 0.500 0.500
P1 0.000 0.500 0.000
S1 0.000 0.000 0.500
```

---

No. 5
Entry from Alexandria via LeMat-Bulk: a relaxed HfU2Se5 crystal (PBE).

Output
ΔE_f (raw)	-593	meV per atom
uncorrected energy	-6.8373	eV per atom
excess energy over the best structure of this formula in the dataset	0.487	eV per atom
N(E_F)	8.42	states/eV/cell

Geometry as CIF:
```
data_HfU2Se5
_chemical_formula_sum 'Hf1 U2 Se5'
_cell_length_a 6.904
_cell_length_b 6.904
_cell_length_c 4.710
_cell_angle_alpha 90.00
_cell_angle_beta 90.00
_cell_angle_gamma 90.00
_symmetry_space_group_name_H-M 'P 4/m m m'
_symmetry_Int_Tables_number 123
_symmetry_space_group_name_Hall '-P 4 2'
loop_
_atom_site_label
_atom_site_fract_x
_atom_site_fract_y
_atom_site_fract_z
Hf1 0.000 0.000 0.000
U1 0.000 0.500 0.500
Se1 0.000 0.000 0.500
Se2 0.271 0.271 0.000
```

---

No. 6
Entry from Alexandria via LeMat-Bulk: a relaxed CsNa2VCl8 crystal (PBE).

Output
ΔE_f (raw)	-1343	meV per atom
uncorrected energy	-3.6251	eV per atom
N(E_F)	6.28	states/eV/cell

Geometry as CIF:
```
data_CsNa2VCl8
_chemical_formula_sum 'Cs1 Na2 V1 Cl8'
_cell_length_a 5.840
_cell_length_b 6.448
_cell_length_c 9.329
_cell_angle_alpha 90.06
_cell_angle_beta 90.26
_cell_angle_gamma 92.61
_symmetry_space_group_name_H-M 'P -1'
_symmetry_Int_Tables_number 2
_symmetry_space_group_name_Hall '-P 1'
loop_
_atom_site_label
_atom_site_fract_x
_atom_site_fract_y
_atom_site_fract_z
Cs1 0.000 0.000 0.000
Na1 0.499 0.500 0.731
V1 0.000 0.000 0.500
Cl1 0.225 0.860 0.326
Cl2 0.228 0.862 0.675
Cl3 0.234 0.305 0.499
Cl4 0.253 0.498 0.000
```

---

No. 7
Entry from Alexandria via LeMat-Bulk: a relaxed Pm3Sc2PaAs6 crystal (PBE).

Output
calculated formation energy	-1.394	eV per atom
uncorrected energy	-6.7526	eV per atom
N(E_F)	8.69	states/eV/cell

Geometry as CIF:
```
data_Pm3Sc2PaAs6
_chemical_formula_sum 'Pm6 Sc4 Pa2 As12'
_cell_length_a 7.078
_cell_length_b 12.263
_cell_length_c 7.132
_cell_angle_alpha 90.00
_cell_angle_beta 109.32
_cell_angle_gamma 90.00
_symmetry_space_group_name_H-M 'C 1 2/m 1'
_symmetry_Int_Tables_number 12
_symmetry_space_group_name_Hall '-C 2y'
loop_
_atom_site_label
_atom_site_fract_x
_atom_site_fract_y
_atom_site_fract_z
Pm1 0.000 0.000 0.000
Pm2 0.000 0.334 0.000
Sc1 0.000 0.167 0.500
Pa1 0.000 0.500 0.500
As1 0.239 0.000 0.729
As2 0.246 0.331 0.731
```

---

No. 8
Entry from Alexandria via LeMat-Bulk: a relaxed DyHoGaTc crystal (PBE).

Output
calculated formation energy	-0.247	eV per atom
uncorrected energy	-5.8897	eV per atom
N(E_F)	12.68	states/eV/cell

Geometry as CIF:
```
data_DyHoGaTc
_chemical_formula_sum 'Dy4 Ho4 Ga4 Tc4'
_cell_length_a 6.984
_cell_length_b 6.984
_cell_length_c 6.984
_cell_angle_alpha 90.00
_cell_angle_beta 90.00
_cell_angle_gamma 90.00
_symmetry_space_group_name_H-M 'F -4 3 m'
_symmetry_Int_Tables_number 216
_symmetry_space_group_name_Hall 'F -4 2 3'
loop_
_atom_site_label
_atom_site_fract_x
_atom_site_fract_y
_atom_site_fract_z
Dy1 0.000 0.000 0.000
Ho1 0.000 0.000 0.500
Ga1 0.250 0.250 0.250
Tc1 0.250 0.250 0.750
```

---

No. 9
Entry from Alexandria via LeMat-Bulk: a relaxed GdPuMgBi crystal (PBE).

Output
calculated formation energy	-0.162	eV per atom
uncorrected energy	-8.6345	eV per atom
N(E_F)	49.75	states/eV/cell

Geometry as CIF:
```
data_GdPuMgBi
_chemical_formula_sum 'Gd4 Pu4 Mg4 Bi4'
_cell_length_a 7.686
_cell_length_b 7.686
_cell_length_c 7.686
_cell_angle_alpha 90.00
_cell_angle_beta 90.00
_cell_angle_gamma 90.00
_symmetry_space_group_name_H-M 'F -4 3 m'
_symmetry_Int_Tables_number 216
_symmetry_space_group_name_Hall 'F -4 2 3'
loop_
_atom_site_label
_atom_site_fract_x
_atom_site_fract_y
_atom_site_fract_z
Gd1 0.000 0.000 0.000
Pu1 0.000 0.000 0.500
Mg1 0.250 0.250 0.750
Bi1 0.250 0.250 0.250
```

---

No. 10
Entry from Alexandria via LeMat-Bulk: a relaxed Tl2SnBiS5 crystal (PBE).

Output
ΔE_f (raw)	-294	meV per atom
uncorrected energy	-3.9892	eV per atom
N(E_F)	8.80	states/eV/cell

Geometry as CIF:
```
data_Tl2SnBiS5
_chemical_formula_sum 'Tl8 Sn4 Bi4 S20'
_cell_length_a 3.907
_cell_length_b 19.172
_cell_length_c 13.174
_cell_angle_alpha 90.00
_cell_angle_beta 90.00
_cell_angle_gamma 90.00
_symmetry_space_group_name_H-M 'C m c 21'
_symmetry_Int_Tables_number 36
_symmetry_space_group_name_Hall 'C 2c -2'
loop_
_atom_site_label
_atom_site_fract_x
_atom_site_fract_y
_atom_site_fract_z
Tl1 0.000 0.122 0.000
Tl2 0.000 0.139 0.653
Sn1 0.000 0.453 0.748
Bi1 0.000 0.206 0.360
S1 0.000 0.032 0.364
S2 0.000 0.287 0.005
S3 0.000 0.332 0.698
S4 0.000 0.340 0.318
S5 0.000 0.475 0.102
```

---

No. 11
Entry from Alexandria via LeMat-Bulk: a relaxed BePIrO2 crystal (PBE).

Output
ΔE_f (raw)	-202	meV per atom
uncorrected energy	-5.7846	eV per atom
excess energy over the best structure of this formula in the dataset	0.000	eV per atom
N(E_F)	5.15	states/eV/cell

Geometry as CIF:
```
data_BePIrO2
_chemical_formula_sum 'Be1 P1 Ir1 O2'
_cell_length_a 3.255
_cell_length_b 3.255
_cell_length_c 7.547
_cell_angle_alpha 90.00
_cell_angle_beta 90.00
_cell_angle_gamma 90.00
_symmetry_space_group_name_H-M 'P 4/m m m'
_symmetry_Int_Tables_number 123
_symmetry_space_group_name_Hall '-P 4 2'
loop_
_atom_site_label
_atom_site_fract_x
_atom_site_fract_y
_atom_site_fract_z
Be1 0.000 0.000 0.000
P1 0.000 0.000 0.500
Ir1 0.500 0.500 0.500
O1 0.000 0.500 0.000
```

---

No. 12
Entry from Alexandria via LeMat-Bulk: a relaxed Na4Pm3BiS8 crystal (PBE).

Output
ΔE_f (raw)	-1545	meV per atom
uncorrected energy	-5.0718	eV per atom
N(E_F)	0.00	states/eV/cell

Geometry as CIF:
```
data_Na4Pm3BiS8
_chemical_formula_sum 'Na12 Pm9 Bi3 S24'
_cell_length_a 8.1923
_cell_length_b 8.1923
_cell_length_c 20.1336
_cell_angle_alpha 90.00
_cell_angle_beta 90.00
_cell_angle_gamma 120.00
_symmetry_space_group_name_H-M 'R -3 m'
_symmetry_Int_Tables_number 166
_symmetry_space_group_name_Hall '-R 3 2"'
loop_
_atom_site_label
_atom_site_fract_x
_atom_site_fract_y
_atom_site_fract_z
Na1 0.0000 0.0000 0.0000
Na2 0.0000 0.5000 0.0000
Pm1 0.0000 0.5000 0.5000
Bi1 0.0000 0.0000 0.5000
S1 0.0000 0.0000 0.2436
S2 0.0006 0.5003 0.7555
```